(1)
The following is a DFT calculation (GGA-PBE) of a relaxed structure of ZrAsCl2.

Summary:
- E_form (uncorrected): -0.19 eV/atom
- Calculated volume: 91.66 Å³ per cell

Structure (extended XYZ):
```
4
Lattice="1.910 0.000 9.669 -0.955 1.654 9.669 -0.955 -1.654 9.669" Properties=species:S:1:pos:R:3 pbc="T T T"
As 0.000 0.000 14.503
Zr 0.000 0.000 0.000
Cl 0.000 0.000 26.590
Cl 0.000 0.000 2.415
```

(2)
The following is a DFT calculation (GGA-PBE) of a relaxed structure of Ho4TmAg5.

Summary:
- Formation energy: -0.33 eV per atom
- Calculated volume: 235.56 Å³ per cell

Structure (extended XYZ):
```
10
Lattice="-3.476 0.678 -0.528 -0.857 -2.901 1.916 -0.335 10.194 15.282" Properties=species:S:1:pos:R:3 pbc="T T T"
Ho -0.067 2.028 3.040
Ho -0.134 4.075 6.108
Ho -0.201 6.120 9.174
Ho -0.268 8.166 12.242
Tm 0.000 0.000 0.000
Ag -2.199 -0.113 2.190
Ag -2.267 1.941 5.269
Ag -2.334 3.986 8.335
Ag -2.401 6.031 11.401
Ag -2.468 8.085 14.480
```

(3)
The following is a DFT calculation (GGA-PBE) of a relaxed structure of KCa2Mn.

Summary:
- Formation energy: 0.52 eV per atom
- Calculated volume: 150.51 Å³ per cell

Structure (extended XYZ):
```
4
Lattice="7.502 -0.007 -0.042 6.506 3.736 -0.042 2.320 0.617 5.348" Properties=species:S:1:pos:R:3 pbc="T T T"
Ca 3.002 0.799 5.031
Ca 4.084 1.087 1.315
K 7.631 2.031 2.880
Mn 12.095 3.220 4.019
```

(4)
The following is a DFT calculation (GGA-PBE) of a relaxed structure of Sr2TlCd2.

Summary:
- Formation energy: -0.13 eV per atom
- Calculated volume: 184.37 Å³ per cell

Structure (extended XYZ):
```
5
Lattice="-0.552 3.544 -5.348 -5.488 -3.040 -1.448 -5.314 3.314 -1.132" Properties=species:S:1:pos:R:3 pbc="T T T"
Sr -4.443 3.555 -4.938
Sr -6.911 0.263 -2.988
Tl 0.000 0.000 0.000
Cd -3.721 1.187 -2.705
Cd -7.634 2.631 -5.221
```

(5)
The following is a DFT calculation (GGA-PBE) of a relaxed structure of NpAgPd4.

Summary:
- Formation energy: -0.22 eV per atom
- Calculated volume: 108.07 Å³ per cell

Structure (extended XYZ):
```
6
Lattice="5.347 0.000 0.000 2.673 4.630 0.000 2.673 1.543 4.365" Properties=species:S:1:pos:R:3 pbc="T T T"
Np 2.673 1.543 1.091
Pd 5.347 3.087 0.543
Pd 5.347 1.541 2.729
Pd 6.685 3.860 2.729
Pd 4.008 3.860 2.729
Ag 0.000 0.000 0.000
```

(6)
The following is a DFT calculation (GGA-PBE) of a relaxed structure of Cs4Er3NpTe8.

Summary:
- E_form (uncorrected): -1.24 eV/atom
- Calculated volume: 641.46 Å³ per cell

Structure (extended XYZ):
```
16
Lattice="9.126 0.000 0.000 0.000 10.305 0.832 -4.563 -4.560 6.453" Properties=species:S:1:pos:R:3 pbc="T T T"
Cs 4.563 0.000 0.000
Cs 2.281 -2.280 3.227
Cs 0.000 0.000 0.000
Cs -2.281 -2.280 3.227
Er 4.563 5.153 0.416
Er 2.281 2.873 3.642
Er -2.281 2.873 3.642
Np 0.000 5.153 0.416
Te -2.238 2.738 6.742
Te 0.000 4.974 3.577
Te 0.000 0.749 3.754
Te 2.238 2.738 6.742
Te 2.325 3.008 0.543
Te 4.563 4.997 3.530
Te 4.563 0.771 3.708
Te 6.801 3.008 0.543
```

(7)
The following is a DFT calculation (GGA-PBE) of a relaxed structure of Si2AsBr.

Summary:
- E_form (uncorrected): 0.70 eV/atom
- Calculated volume: 77.04 Å³ per cell

Structure (extended XYZ):
```
4
Lattice="-1.258 2.291 1.744 1.944 -2.041 4.085 4.092 2.702 -0.598" Properties=species:S:1:pos:R:3 pbc="T T T"
As 1.417 2.497 0.573
Br 3.018 0.331 1.743
Si 0.000 0.000 0.000
Si 0.343 0.125 2.914
```

(8)
The following is a DFT calculation (GGA-PBE) of a relaxed structure of AcNdTm.

Summary:
- Formation energy: 0.13 eV per atom
- Calculated volume: 109.02 Å³ per cell

Structure (extended XYZ):
```
3
Lattice="3.602 0.000 0.000 0.000 5.911 0.000 0.000 -2.956 5.119" Properties=species:S:1:pos:R:3 pbc="T T T"
Ac 0.600 0.000 0.000
Tm 0.601 0.000 3.413
Nd 2.402 2.956 1.706
```

(9)
The following is a DFT calculation (GGA-PBE) of a relaxed structure of Li6Mg8Ag.

Summary:
- Formation energy: 0.00 eV per atom
- Calculated volume: 307.01 Å³ per cell

Structure (extended XYZ):
```
15
Lattice="-6.035 5.704 -0.975 -6.484 -1.593 -5.031 -6.707 -0.644 1.902" Properties=species:S:1:pos:R:3 pbc="T T T"
Li -14.943 -0.099 -3.321
Li -2.326 -0.254 -1.483
Li -6.092 0.654 -3.460
Li -13.135 2.813 -0.645
Li -16.900 3.721 -2.621
Li -4.283 3.566 -0.784
Mg -6.895 1.260 -0.602
Mg -8.477 3.905 -0.125
Mg -8.111 -0.976 -2.405
Mg -8.870 2.324 -3.197
Mg -10.356 1.143 -0.908
Mg -11.115 4.443 -1.700
Mg -10.749 -0.437 -3.980
Mg -12.332 2.207 -3.503
Ag 0.000 0.000 0.000
```

(10)
The following is a DFT calculation (GGA-PBE) of a relaxed structure of Nb2VRh5.

Summary:
- Formation energy: -0.45 eV per atom
- Calculated volume: 239.87 Å³ per cell

Structure (extended XYZ):
```
16
Lattice="3.949 0.000 0.000 0.000 5.518 0.000 0.000 0.000 11.007" Properties=species:S:1:pos:R:3 pbc="T T T"
Nb 1.975 1.552 4.038
Nb 1.975 3.966 6.969
Nb 1.975 1.207 9.541
Nb 1.975 4.311 1.465
V 0.000 0.000 5.503
V 0.000 2.759 0.000
Rh 1.975 1.518 1.277
Rh 1.975 4.000 9.730
Rh 1.975 4.278 4.227
Rh 1.975 1.241 6.780
Rh 0.000 5.362 8.210
Rh 0.000 0.156 2.797
Rh 0.000 2.603 8.300
Rh 0.000 2.915 2.707
Rh 0.000 2.759 5.503
Rh 0.000 0.000 0.000
```

(11)
The following is a DFT calculation (GGA-PBE) of a relaxed structure of CeUIn2O8.

Summary:
- E_form (uncorrected): -2.51 eV/atom
- Calculated volume: 173.68 Å³ per cell

Structure (extended XYZ):
```
12
Lattice="4.979 -0.037 -0.003 -0.004 4.978 -0.005 0.004 0.008 7.007" Properties=species:S:1:pos:R:3 pbc="T T T"
Ce 0.002 0.004 3.504
U 0.000 0.000 0.000
In 2.491 2.476 5.250
In 2.489 2.472 1.748
O 0.931 4.037 1.607
O 3.482 3.460 -0.006
O 4.046 0.907 1.609
O 4.048 0.911 5.392
O 1.498 1.489 7.005
O 0.933 4.041 5.390
O 3.442 3.422 3.498
O 1.537 1.526 3.501
```

(12)
The following is a DFT calculation (GGA-PBE) of a relaxed structure of DyTiRu2.

Summary:
- Formation energy: -0.49 eV per atom
- Calculated volume: 68.14 Å³ per cell

Structure (extended XYZ):
```
4
Lattice="3.205 0.000 0.000 0.000 3.205 0.000 0.000 0.000 6.636" Properties=species:S:1:pos:R:3 pbc="T T T"
Ru 0.000 0.000 5.174
Ru 0.000 0.000 1.462
Ti 1.602 1.602 0.000
Dy 1.602 1.602 3.318
```

(13)
The following is a DFT calculation (GGA-PBE) of a relaxed structure of LiSc2In.

Summary:
- Formation energy: -0.06 eV per atom
- Calculated volume: 87.46 Å³ per cell

Structure (extended XYZ):
```
4
Lattice="-2.421 -4.354 0.066 -0.586 -2.589 -4.216 2.504 -4.253 -0.680" Properties=species:S:1:pos:R:3 pbc="T T T"
In -0.251 -5.598 -2.415
Li -0.126 -2.799 -1.207
Sc 0.000 0.000 0.000
Sc -0.377 -8.398 -3.622
```

(14)
The following is a DFT calculation (GGA-PBE) of a relaxed structure of Hf5Mg12Bi3.

Summary:
- Formation energy: 1.00 eV per atom
- Calculated volume: 2605.43 Å³ per cell

Structure (extended XYZ):
```
80
Lattice="15.014 0.000 0.000 -5.005 14.155 0.000 -5.005 -7.078 12.259" Properties=species:S:1:pos:R:3 pbc="T T T"
Bi 8.758 4.424 1.532
Bi 8.758 9.732 1.532
Bi -1.251 6.193 7.662
Bi 1.251 -0.885 4.597
Bi 11.261 0.000 3.065
Bi 1.251 7.078 3.065
Bi 3.754 0.000 9.194
Bi -6.256 7.078 9.194
Bi 3.754 7.962 7.662
Bi 6.256 0.885 4.597
Bi -3.754 -2.654 10.727
Bi -3.754 2.654 10.727
Hf -1.251 3.539 3.065
Hf -2.502 7.078 0.000
Hf 0.000 0.000 0.000
Hf 3.754 2.654 1.532
Hf 5.005 -3.539 6.129
Hf 5.005 7.078 0.000
Hf -3.754 7.962 4.597
Hf 6.256 -4.424 10.727
Hf 6.256 6.193 4.597
Hf 1.251 -3.539 9.194
Hf 3.754 10.617 3.065
Hf 2.502 3.539 6.129
Hf 7.507 0.000 0.000
Hf -2.502 -3.539 6.129
Hf -1.251 0.885 7.662
Hf -1.251 11.501 1.532
Hf -5.005 3.539 6.129
Hf 8.758 -0.885 7.662
Hf 1.251 4.424 10.727
Hf 6.256 3.539 9.194
Mg 9.914 1.446 0.881
Mg 0.095 5.025 5.318
Mg 10.774 3.214 3.306
Mg 6.742 2.283 1.693
Mg 1.941 5.678 8.072
Mg 10.308 6.894 1.942
Mg -0.765 8.009 4.999
Mg -4.240 11.872 1.693
Mg 0.561 8.477 8.072
Mg 7.209 7.262 1.942
Mg 7.602 3.499 4.436
Mg 7.602 12.709 0.881
Mg -4.444 6.291 7.011
Mg 2.801 5.488 1.131
Mg -5.100 10.657 4.436
Mg 2.597 -2.052 6.941
Mg -0.561 0.613 2.824
Mg 2.801 8.852 0.812
Mg 6.742 10.941 3.306
Mg -0.298 5.304 0.812
Mg -3.063 7.690 9.435
Mg 3.267 6.147 4.999
Mg 6.946 7.865 7.011
Mg 5.303 -1.590 11.128
Mg 1.738 0.931 7.260
Mg -1.941 -0.787 5.248
Mg -0.298 8.668 1.131
Mg -1.738 -3.864 8.953
Mg 8.068 -0.613 2.824
Mg 5.303 1.774 11.447
Mg 2.204 -1.774 11.447
Mg 2.407 9.130 5.318
Mg 5.566 6.465 9.435
Mg 10.104 -3.579 7.823
Mg 9.448 0.787 5.248
Mg -2.597 -5.631 11.378
Mg 2.204 1.590 11.128
Mg 4.444 -1.400 4.187
Mg -2.204 -0.184 10.317
Mg -2.597 3.579 7.823
Mg 9.245 -4.795 10.566
Mg 5.769 -0.931 7.260
Mg -1.738 4.795 10.566
Mg -5.303 0.184 10.317
Mg 3.063 1.400 4.187
Mg -5.769 3.864 8.953
Mg 4.910 2.052 6.941
Mg -4.910 5.631 11.378
```

(15)
The following is a DFT calculation (GGA-PBE) of a relaxed structure of CrNiIr2.

Summary:
- Formation energy: -0.06 eV per atom
- Calculated volume: 52.23 Å³ per cell

Structure (extended XYZ):
```
4
Lattice="2.671 0.000 0.000 0.000 3.739 0.000 0.000 0.000 5.230" Properties=species:S:1:pos:R:3 pbc="T T T"
Cr 1.335 1.870 3.875
Ir 0.000 0.000 5.166
Ir 1.335 1.870 1.408
Ni 0.000 0.000 2.626
```

(16)
The following is a DFT calculation (GGA-PBE) of a relaxed structure of Na2SrI.

Summary:
- E_form (uncorrected): -0.43 eV/atom
- Calculated volume: 187.30 Å³ per cell

Structure (extended XYZ):
```
4
Lattice="4.297 0.000 0.000 2.148 3.721 0.000 2.148 1.240 11.716" Properties=species:S:1:pos:R:3 pbc="T T T"
I 4.297 2.481 5.858
Sr 0.000 0.000 0.000
Na 2.148 1.240 7.884
Na 6.445 3.721 3.832
```